Density functional theory data (PBE-GGA) for a geometry-optimized BaZnSi2 structure.

Structure (CIF):
```
data_BaZnSi2
_cell_length_a 5.065
_cell_length_b 5.065
_cell_length_c 16.760
_cell_angle_alpha 90.00
_cell_angle_beta 90.00
_cell_angle_gamma 90.00
_space_group_name_H-M_alt 'I 41/a m d'
_space_group_IT_number 141
loop_
_space_group_symop_operation_xyz
'x,y,z'
'-x,-y,-z'
'-y+1/4,x+3/4,z+1/4'
'y+1/4,-x+3/4,-z+1/4'
'-x+1/2,-y,z+1/2'
'x+1/2,y,-z+1/2'
'y+1/4,-x+1/4,z+3/4'
'-y+1/4,x+1/4,-z+3/4'
'x,-y,-z'
'-x,y,z'
'-y+1/4,-x+1/4,-z+3/4'
'y+1/4,x+1/4,z+3/4'
'-x+1/2,y,-z+1/2'
'x+1/2,-y,z+1/2'
'y+1/4,x+3/4,-z+1/4'
'-y+1/4,-x+3/4,z+1/4'
'x+1/2,y+1/2,z+1/2'
'-x+1/2,-y+1/2,-z+1/2'
'-y+3/4,x+1/4,z+3/4'
'y+3/4,-x+1/4,-z+3/4'
'-x,-y+1/2,z'
'x,y+1/2,-z'
'y+3/4,-x+3/4,z+1/4'
'-y+3/4,x+3/4,-z+1/4'
'x+1/2,-y+1/2,-z+1/2'
'-x+1/2,y+1/2,z+1/2'
'-y+3/4,-x+3/4,-z+1/4'
'y+3/4,x+3/4,z+1/4'
'-x,y+1/2,-z'
'x,-y+1/2,z'
'y+3/4,x+1/4,-z+3/4'
'-y+3/4,-x+1/4,z+3/4'
loop_
_atom_site_label
_atom_site_type_symbol
_atom_site_fract_x
_atom_site_fract_y
_atom_site_fract_z
Ba1 Ba 0.000 0.250 0.375
Zn1 Zn 0.000 0.250 0.875
Si1 Si 0.000 0.000 0.000
```

Calculated volume: 430 Å³/cell
Formation energy from raw total energies: -125 meV/atom
Spin magnetization: 0.0 μB per cell